Record 1
Here is a geometry-optimized NbCd2GeSb structure from Alexandria. Energies are from GGA-PBE.

Summary:
Formation energy without anion corrections: 0.64 eV/atom
M_tot: 1.77 μB per cell
DOS(E_F): 2.77 states/eV/cell

```
NbCd2GeSb
1.0
-3.215 -0.582 -3.843
1.102 -4.958 -0.171
-3.730 -0.941 3.262
Nb Sb Cd Ge
1 1 2 1
Cartesian
0.551 -2.479 -0.085
-2.922 -3.241 -0.376
-1.607 -0.291 -1.922
-1.865 -0.471 1.631
0.000 0.000 0.000
```

Record 2
Here is a geometry-optimized NbCdGeTe structure from Alexandria. Energies are from GGA-PBE.

Summary:
E above lowest polymorph: 16 kJ/mol of formula units
Formation energy without anion corrections: -0.05 eV/atom
M_tot: 0.00 μB per cell
DOS(E_F): 2.85 states/eV/cell

```
NbCdGeTe
1.0
-1.057 2.201 -2.502
-3.022 1.652 0.619
2.848 7.625 3.128
Te Nb Ge Cd
1 1 1 1
Cartesian
-1.941 5.417 -0.618
-1.482 2.704 -0.809
1.926 7.693 2.205
-0.467 7.644 0.694
```

Record 3
Here is a geometry-optimized NbCdGeTe structure from Alexandria. Energies are from GGA-PBE.

Summary:
E above lowest polymorph: 7 kJ/mol of formula units
Formation energy without anion corrections: -0.07 eV/atom
M_tot: 0.00 μB per cell
DOS(E_F): 6.39 states/eV/cell

```
NbCdGeTe
1.0
3.456 0.000 0.000
0.000 3.456 0.000
0.000 0.000 15.212
Cd Nb Te Ge
2 2 2 2
Cartesian
0.000 0.000 9.769
1.728 1.728 2.164
0.000 0.000 6.693
1.728 1.728 14.299
1.728 1.728 5.092
0.000 0.000 12.698
0.000 0.000 0.510
1.728 1.728 8.116
```

Record 4
Here is a geometry-optimized NbCdGeTe structure from Alexandria. Energies are from GGA-PBE.

Summary:
E above lowest polymorph: 40 kJ/mol of formula units
Formation energy without anion corrections: 0.02 eV/atom
M_tot: 0.00 μB per cell
DOS(E_F): 3.90 states/eV/cell

```
NbCdGeTe
1.0
-3.109 -5.349 0.485
2.991 -1.586 1.673
0.283 7.283 6.400
Te Cd Nb Ge
2 2 2 2
Cartesian
-0.947 -1.448 0.320
0.690 1.400 4.356
1.566 3.994 5.249
-0.071 1.145 1.213
-2.042 1.465 5.039
-0.687 -2.969 2.676
-2.001 -0.586 3.021
-0.364 2.262 7.057
```

Record 5
Here is a geometry-optimized NbCdGeTe structure from Alexandria. Energies are from GGA-PBE.

Summary:
E above lowest polymorph: 0 kJ/mol of formula units
Formation energy without anion corrections: -0.09 eV/atom
M_tot: 0.00 μB per cell
DOS(E_F): 6.15 states/eV/cell

```
NbCdGeTe
1.0
-1.533 6.432 4.382
-3.650 -1.185 0.462
2.067 -4.710 4.251
Te Cd Nb Ge
2 2 2 2
Cartesian
-1.367 0.346 6.255
-0.575 3.293 3.899
-0.266 1.507 1.762
-1.058 -1.440 4.119
0.607 1.276 8.070
-2.251 3.039 6.176
0.604 -1.102 1.949
-0.187 -4.049 4.306
```

Record 6
Here is a geometry-optimized NbCdGeTe structure from Alexandria. Energies are from GGA-PBE.

Summary:
E above lowest polymorph: 20 kJ/mol of formula units
Formation energy without anion corrections: -0.03 eV/atom
M_tot: 0.00 μB per cell
DOS(E_F): 3.53 states/eV/cell

```
NbCdGeTe
1.0
3.344 0.000 -0.001
1.671 2.897 -0.010
1.666 -0.908 10.098
Nb Ge Te Cd
1 1 1 1
Cartesian
3.511 2.188 1.223
3.505 0.306 9.358
3.513 0.264 3.206
3.496 0.297 6.592
```